# 1
First-principles (GGA+U) data for an optimized crystal structure of Ca4Co6F19, as listed in the Alexandria database.

Results
Total magnetization = 17.000 μB per formula unit
Final energy = -5.277 eV/atom
Crystal system = cubic
Volume = 393.44 Å³/cell

Lattice parameters (Å, degrees): 7.995 7.995 7.995 109.47 109.47 109.47
Each line ends with the local moment (μB).
Element x y z (fractional)
F (0.042, 0.279, 0.664)  0.05
F (0.622, 0.238, 0.958)  0.05
F (0.336, 0.616, 0.378)  0.05
F (0.721, 0.762, 0.384)  0.05
F (0.000, 0.000, 0.000)  0.00
F (0.664, 0.042, 0.279)  0.05
F (0.682, 0.000, 0.682)  0.04
F (0.318, 0.000, 0.318)  0.04
F (0.682, 0.682, 0.000)  0.04
F (0.378, 0.336, 0.616)  0.05
F (0.238, 0.958, 0.622)  0.05
F (0.279, 0.664, 0.042)  0.05
F (0.000, 0.682, 0.682)  0.04
F (0.958, 0.622, 0.238)  0.05
F (0.000, 0.318, 0.318)  0.04
F (0.616, 0.378, 0.336)  0.05
F (0.384, 0.721, 0.762)  0.05
F (0.318, 0.318, 0.000)  0.04
F (0.762, 0.384, 0.721)  0.05
Ca (0.000, 0.701, 0.000)  0.01
Ca (0.299, 0.299, 0.299)  0.01
Ca (0.701, 0.000, 0.000)  0.01
Ca (0.000, 0.000, 0.701)  0.01
Co (0.500, 0.846, 0.346)  2.66
Co (0.654, 0.500, 0.154)  2.66
Co (0.846, 0.346, 0.500)  2.66
Co (0.154, 0.654, 0.500)  2.66
Co (0.346, 0.500, 0.846)  2.66
Co (0.500, 0.154, 0.654)  2.66

# 2
First-principles (GGA+U) data for an optimized crystal structure of CaCoF, as listed in the Alexandria database.

Results
Total magnetization = 1.923 μB per formula unit
Energy above the most stable polymorph in this dataset = 39 meV/atom
Crystal system = tetragonal
Volume = 103.87 Å³/cell

Lattice parameters (Å, degrees): 3.602 3.602 8.004 90.00 90.00 90.00
Each line ends with the local moment (μB).
Element x y z (fractional)
Ca (0.500, 0.000, 0.322)  -0.04
Ca (0.000, 0.500, 0.678)  -0.04
Co (0.000, 0.500, 0.029)  2.17
Co (0.500, 0.000, 0.971)  2.17
F (0.500, 0.500, 0.500)  0.00
F (0.000, 0.000, 0.500)  0.00

# 3
First-principles (GGA+U) data for an optimized crystal structure of CaCo3F, as listed in the Alexandria database.

Results
Total magnetization = 4.887 μB per formula unit
Energy above the most stable polymorph in this dataset = 0 meV/atom
Crystal system = cubic
Volume = 84.49 Å³/cell

Lattice parameters (Å, degrees): 4.388 4.388 4.388 90.00 90.00 90.00
Each line ends with the local moment (μB).
Element x y z (fractional)
F (0.000, 0.000, 0.000)  -0.02
Co (0.500, 0.000, 0.000)  1.75
Co (0.000, 0.000, 0.500)  1.92
Co (0.000, 0.500, 0.000)  1.83
Ca (0.500, 0.500, 0.500)  -0.13

# 4
First-principles (GGA+U) data for an optimized crystal structure of CaCo3F, as listed in the Alexandria database.

Results
Total magnetization = 7.794 μB per formula unit
Energy above the most stable polymorph in this dataset = 1496 meV/atom
Crystal system = cubic
Volume = 144.92 Å³/cell

Lattice parameters (Å, degrees): 5.253 5.253 5.253 90.00 90.00 90.00
Each line ends with the local moment (μB).
Element x y z (fractional)
Co (0.000, 0.500, 0.000)  2.34
Co (0.000, 0.000, 0.500)  2.35
Co (0.500, 0.000, 0.000)  2.27
F (0.500, 0.500, 0.500)  0.16
Ca (0.000, 0.000, 0.000)  -0.06

# 5
First-principles (GGA+U) data for an optimized crystal structure of CaCoF5, as listed in the Alexandria database.

Results
Total magnetization = 4.013 μB per formula unit
Energy above the most stable polymorph in this dataset = 18 meV/atom
Crystal system = monoclinic
Volume = 403.53 Å³/cell

Lattice parameters (Å, degrees): 10.090 5.555 7.659 70.05 90.00 90.00
Each line ends with the local moment (μB).
Element x y z (fractional)
Co (0.247, 0.893, 0.401)  3.28
Co (0.253, 0.893, 0.901)  3.28
Co (0.753, 0.107, 0.599)  3.28
Co (0.747, 0.107, 0.099)  3.28
F (0.619, 0.391, 0.057)  0.09
F (0.637, 0.830, 0.638)  0.14
F (0.119, 0.609, 0.443)  0.09
F (0.884, 0.358, 0.003)  0.11
F (0.803, 0.152, 0.337)  0.14
F (0.363, 0.170, 0.362)  0.14
F (0.881, 0.391, 0.557)  0.09
F (0.390, 0.120, 0.808)  0.16
F (0.303, 0.848, 0.163)  0.14
F (0.116, 0.642, 0.997)  0.11
F (0.381, 0.609, 0.943)  0.09
F (0.384, 0.642, 0.497)  0.11
F (0.616, 0.358, 0.503)  0.11
F (0.610, 0.880, 0.192)  0.16
F (0.110, 0.120, 0.308)  0.16
F (0.137, 0.170, 0.862)  0.14
F (0.890, 0.880, 0.692)  0.16
F (0.697, 0.152, 0.837)  0.14
F (0.197, 0.848, 0.663)  0.14
F (0.863, 0.830, 0.138)  0.14
Ca (0.021, 0.531, 0.743)  0.01
Ca (0.521, 0.469, 0.757)  0.01
Ca (0.479, 0.531, 0.243)  0.01
Ca (0.979, 0.469, 0.257)  0.01

# 6
First-principles (GGA+U) data for an optimized crystal structure of CaCoF, as listed in the Alexandria database.

Results
Total magnetization = 1.771 μB per formula unit
Energy above the most stable polymorph in this dataset = 7 meV/atom
Crystal system = monoclinic
Volume = 92.64 Å³/cell

Lattice parameters (Å, degrees): 8.459 3.309 3.309 90.00 90.03 89.91
Each line ends with the local moment (μB).
Element x y z (fractional)
Co (0.587, 0.987, 0.409)  2.03
Co (0.638, 0.487, 0.909)  2.03
Ca (0.915, 0.986, 0.409)  -0.06
Ca (0.310, 0.484, 0.909)  -0.06
F (0.209, 0.985, 0.409)  0.00
F (0.016, 0.486, 0.908)  0.00

What did the third record say?
First-principles (GGA+U) data for an optimized crystal structure of CaCo3F, as listed in the Alexandria database.

Results
Total magnetization = 4.887 μB per formula unit
Energy above the most stable polymorph in this dataset = 0 meV/atom
Crystal system = cubic
Volume = 84.49 Å³/cell

Lattice parameters (Å, degrees): 4.388 4.388 4.388 90.00 90.00 90.00
Each line ends with the local moment (μB).
Element x y z (fractional)
F (0.000, 0.000, 0.000)  -0.02
Co (0.500, 0.000, 0.000)  1.75
Co (0.000, 0.000, 0.500)  1.92
Co (0.000, 0.500, 0.000)  1.83
Ca (0.500, 0.500, 0.500)  -0.13